Density functional theory data (PBE) for crystalline TcPS2Cl at its relaxed geometry.

Calculated values
SG ... P4/mmm
ρ ... 4.32 g/cm³
Calculated volume ... 17.584 A^3/atom
Raw formation energy ... 1.68 eV per atom

abc: 4.455 4.455 4.430
angles: 90.00 90.00 90.00
Sites, in units of the cell vectors:
P 0.000 0.000 0.500
S 0.000 0.500 0.000
S 0.500 0.000 0.000
Tc 0.500 0.500 0.500
Cl 0.000 0.000 0.000

Density functional theory data (PBE) for crystalline Nb2SiAgI at its relaxed geometry.

Calculated values
SG ... P4/mmm
ρ ... 6.11 g/cm³
Calculated volume ... 24.369 A^3/atom
Raw formation energy ... 1.46 eV per atom

abc: 5.278 4.374 5.278
angles: 90.00 90.00 90.00
Each line ends with the local moment (μB).
Sites, in units of the cell vectors:
I 0.500 0.500 0.500  -0.05
Nb 0.000 0.000 0.500  1.30
Nb 0.500 0.000 0.000  1.18
Si 0.000 0.500 0.000  -0.06
Ag 0.000 0.000 0.000  0.05

Density functional theory data (PBE) for crystalline La3P2I at its relaxed geometry.

Calculated values
SG ... P6_3/mmc
ρ ... 5.55 g/cm³
Calculated volume ... 30.181 A^3/atom
Raw formation energy ... -1.51 eV per atom

abc: 4.314 4.314 22.470
angles: 90.00 90.00 120.00
Sites, in units of the cell vectors:
La 0.000 0.000 0.000
La 0.333 0.667 0.142
La 0.333 0.667 0.358
La 0.000 0.000 0.500
La 0.667 0.333 0.642
La 0.667 0.333 0.858
P 0.333 0.667 0.922
P 0.667 0.333 0.078
P 0.667 0.333 0.422
P 0.333 0.667 0.578
I 0.000 0.000 0.250
I 0.000 0.000 0.750

Density functional theory data (PBE) for crystalline MnTlAg2 at its relaxed geometry.

Calculated values
Energy of formation ... 34 kJ/mol of atoms
SG ... R3m
ρ ... 9.86 g/cm³
Calculated volume ... 20.006 A^3/atom

abc: 9.327 9.327 9.327
angles: 19.62 19.62 19.62
Each line ends with the local moment (μB).
Sites, in units of the cell vectors:
Ag 0.996 0.996 0.996  0.01
Ag 0.247 0.247 0.247  0.03
Mn 0.505 0.505 0.505  3.92
Tl 0.752 0.752 0.752  0.03

Density functional theory data (PBE) for crystalline Ba2Li2Sn at its relaxed geometry.

Calculated values
Energy of formation ... -19 kJ/mol of atoms
SG ... I4/mmm
ρ ... 3.66 g/cm³
Calculated volume ... 36.943 A^3/atom

abc: 4.114 4.114 11.294
angles: 79.51 79.51 90.00
Sites, in units of the cell vectors:
Li 0.750 0.250 0.500
Li 0.250 0.750 0.500
Ba 0.401 0.401 0.198
Ba 0.599 0.599 0.802
Sn 0.000 0.000 0.000

Density functional theory data (PBE) for crystalline LiZn2P at its relaxed geometry.

Calculated values
Energy of formation ... 6 kJ/mol of atoms
SG ... P4/mmm
ρ ... 4.55 g/cm³
Calculated volume ... 15.404 A^3/atom

abc: 2.754 2.754 8.127
angles: 90.00 90.00 90.00
Sites, in units of the cell vectors:
Li 0.500 0.500 0.250
P 0.500 0.500 0.750
Zn 0.000 0.000 0.004
Zn 0.000 0.000 0.496

Density functional theory data (PBE) for crystalline Y5Mg3 at its relaxed geometry.

Calculated values
Energy of formation ... -2 kJ/mol of atoms
SG ... Cmmm
ρ ... 3.71 g/cm³
Calculated volume ... 28.983 A^3/atom

abc: 6.727 6.727 5.244
angles: 90.00 90.00 102.30
Sites, in units of the cell vectors:
Mg 0.500 0.500 0.000
Mg 0.767 0.233 0.500
Mg 0.233 0.767 0.500
Y 0.000 0.000 0.000
Y 0.000 0.500 0.000
Y 0.500 0.000 0.000
Y 0.275 0.275 0.500
Y 0.725 0.725 0.500

Density functional theory data (PBE) for crystalline CeMgTl2 at its relaxed geometry.

Calculated values
Energy of formation ... -20 kJ/mol of atoms
SG ... P4/mmm
ρ ... 8.85 g/cm³
Calculated volume ... 26.890 A^3/atom

abc: 4.578 4.847 4.847
angles: 90.00 90.00 90.00
Each line ends with the local moment (μB).
Sites, in units of the cell vectors:
Tl 0.000 0.000 0.500  0.01
Tl 0.000 0.500 0.000  0.01
Mg 0.500 0.500 0.500  0.00
Ce 0.500 0.000 0.000  0.79

Density functional theory data (PBE) for crystalline LaSiSb2 at its relaxed geometry.

Calculated values
SG ... P4mm
ρ ... 6.03 g/cm³
Calculated volume ... 28.274 A^3/atom
Raw formation energy ... -0.18 eV per atom

abc: 3.533 3.533 9.062
angles: 90.00 90.00 89.95
Sites, in units of the cell vectors:
La 0.500 0.500 0.714
Sb 0.000 0.000 0.970
Sb 0.500 0.500 0.338
Si 0.000 0.000 0.478

Density functional theory data (PBE) for crystalline Na3DyZr2Se6 at its relaxed geometry.

Calculated values
SG ... C2/m
ρ ... 5.12 g/cm³
Calculated volume ... 23.973 A^3/atom
Raw formation energy ... -1.42 eV per atom

abc: 6.820 6.820 7.498
angles: 98.74 98.74 120.02
Sites, in units of the cell vectors:
Na 0.163 0.837 0.500
Na 0.837 0.163 0.500
Na 0.500 0.500 0.500
Dy 0.000 0.000 0.000
Zr 0.333 0.667 0.000
Zr 0.667 0.333 0.000
Se 0.924 0.579 0.772
Se 0.732 0.732 0.228
Se 0.076 0.421 0.228
Se 0.579 0.924 0.772
Se 0.268 0.268 0.772
Se 0.421 0.076 0.228

Density functional theory data (PBE) for crystalline KPrSn2 at its relaxed geometry.

Calculated values
Energy of formation ... -41 kJ/mol of atoms
SG ... P4/mmm
ρ ... 4.91 g/cm³
Calculated volume ... 35.267 A^3/atom

abc: 4.237 4.237 7.857
angles: 90.00 90.00 90.00
Sites, in units of the cell vectors:
Pr 0.500 0.500 0.000
K 0.500 0.500 0.500
Sn 0.000 0.000 0.813
Sn 0.000 0.000 0.187

Density functional theory data (PBE) for crystalline BaCdCl4 at its relaxed geometry.

Calculated values
SG ... Pnc2
ρ ... 3.52 g/cm³
Calculated volume ... 30.765 A^3/atom
Raw formation energy ... -1.81 eV per atom

abc: 7.418 6.706 7.422
angles: 90.00 90.00 90.00
Sites, in units of the cell vectors:
Ba 0.000 0.500 0.250
Ba 0.500 0.500 0.750
Cd 0.000 0.000 0.750
Cd 0.500 0.000 0.250
Cl 0.317 0.754 0.068
Cl 0.182 0.248 0.932
Cl 0.318 0.248 0.432
Cl 0.183 0.754 0.568
Cl 0.682 0.752 0.432
Cl 0.817 0.246 0.568
Cl 0.683 0.246 0.068
Cl 0.818 0.752 0.932

Question: What is the calculated volume in the eighth record?
Answer: 26.890 A^3/atom